No. 1
## Th4GeTeSe2 (PBE)

Data for a relaxed structure of Th4GeTeSe2.

Computed properties:
energy relative to the elements, uncorrected = -1.255 eV per atom
size of the total moment = 0.000 μB per formula unit

Cell: 7.3185 4.3392 7.5529 Å, 90.00 109.87 90.00°
Space group P2/m (No. 10)
Asymmetric unit:
Th 0.2349 0.0000 0.2285
Th 0.2467 0.5000 0.7658
Ge 0.5000 0.0000 0.0000
Te 0.5000 0.5000 0.5000
Se 0.0000 0.0000 0.5000
Se 0.0000 0.5000 0.0000


No. 2
## Cs3In5Ge2 (PBE)

Data for a relaxed structure of Cs3In5Ge2.

Computed properties:
energy of formation = -0.064 eV per atom
size of the total moment = 0.000 μB per formula unit

Cell: 11.1195 16.3019 7.7906 Å, 90.00 90.00 90.00°
Space group Ibam (No. 72)
Asymmetric unit:
Cs 0.0000 0.0000 0.2500
Cs 0.2488 0.3729 0.0000
In 0.0000 0.2570 0.2500
In 0.0000 0.5000 0.2500
In 0.1394 0.3753 0.5000
Ge 0.1200 0.1673 0.0000


No. 3
## CaNiB2H (PBE)

Data for a relaxed structure of CaNiB2H.

Computed properties:
calculated total energy = -4.60 eV per atom
size of the total moment = 0.000 μB per formula unit

Cell: 3.8060 3.8060 3.9360 Å, 90.00 90.00 90.00°
Space group P4/mmm (No. 123)
Asymmetric unit:
Ca 0.0000 0.0000 0.0000
Ni 0.5000 0.5000 0.5000
B 0.0000 0.5000 0.5000
H 0.5000 0.5000 0.0000